1.
TlPdPbAu | PBE | optimized geometry

The structure in POSCAR format:
```
TlPdPbAu
1.0
9.464 0.000 0.000
0.000 3.787 0.000
-3.879 0.000 5.259
Tl Pd Pb Au
2 2 2 2
direct
0.000 0.000 0.000
0.500 0.500 0.000
0.247 0.000 0.569
0.747 0.500 0.569
0.369 0.500 0.374
0.869 0.000 0.374
0.130 0.500 0.779
0.630 0.000 0.779
```

Properties
- Excess energy over the best structure of this formula in the dataset: 0.00 eV/f.u.
- Energy of formation from the pure elements: -0.329 eV per formula unit
- Space group: Cm
- DOS at the Fermi energy: 2.8 states/eV/cell


2.
NdZn2SiIr2 | PBE | optimized geometry

The structure in POSCAR format:
```
NdZn2SiIr2
1.0
4.489 0.000 0.000
0.000 4.489 0.000
0.000 0.000 5.713
Nd Zn Si Ir
1 2 1 2
direct
0.000 0.000 0.000
0.500 0.500 0.226
0.500 0.500 0.774
0.000 0.000 0.500
0.000 0.500 0.500
0.500 0.000 0.500
```

Properties
- Space group: P4/mmm
- Formation energy from raw total energies: -0.284 eV per atom
- DOS at the Fermi energy: 4.7 states/eV/cell


- The highest DOS at the Fermi energy belongs to which entry?
  NdZn2SiIr2


- Which of these has the highest DOS at the Fermi energy?
  NdZn2SiIr2


- Which value of DOS at the Fermi energy does entry 2 give?
  4.7 states/eV/cell